1.
# Y5HoTm2Th (PBE, relaxed)
# Formation energy from the elements ... 0.160 eV/atom
# Electronic total energy ... -5.758 eV/atom
# DOS(E_F) ... 1.416 states/eV per atom
data_Y5HoTm2Th
_symmetry_space_group_name_H-M 'C m c 21'
_symmetry_Int_Tables_number 36
_cell_length_a 5.713
_cell_length_b 21.296
_cell_length_c 9.692
_cell_angle_alpha 90.00
_cell_angle_beta 90.00
_cell_angle_gamma 90.00
loop_
_symmetry_equiv_pos_as_xyz
'x,y,z'
'-x,-y,z+1/2'
'-x,y,z'
'x,-y,z+1/2'
'x+1/2,y+1/2,z'
'-x+1/2,-y+1/2,z+1/2'
'-x+1/2,y+1/2,z'
'x+1/2,-y+1/2,z+1/2'
loop_
_atom_site_label
_atom_site_type_symbol
_atom_site_fract_x
_atom_site_fract_y
_atom_site_fract_z
_atom_site_occupancy
Y1 Y 0.000 0.014 0.000 1
Y2 Y 0.000 0.267 0.321 1
Y3 Y 0.000 0.304 0.697 1
Y4 Y 0.000 0.390 0.027 1
Y5 Y 0.000 0.472 0.731 1
Ho1 Ho 0.000 0.403 0.414 1
Tm1 Tm 0.000 0.113 0.309 1
Tm2 Tm 0.000 0.129 0.698 1
Th1 Th 0.000 0.188 0.009 1

=====

2.
# H2IrW2 (PBE, relaxed)
# ΔE to the lowest computed polymorph ... 0 meV/atom
# Electronic total energy ... -8.174 eV/atom
# DOS(E_F) ... 0.584 states/eV per atom
data_H2IrW2
_symmetry_space_group_name_H-M 'I 4/m m m'
_symmetry_Int_Tables_number 139
_symmetry_space_group_name_Hall '-I 4 2'
_cell_length_a 2.899
_cell_length_b 2.899
_cell_length_c 12.329
_cell_angle_alpha 90.00
_cell_angle_beta 90.00
_cell_angle_gamma 90.00
loop_
_atom_site_label
_atom_site_type_symbol
_atom_site_fract_x
_atom_site_fract_y
_atom_site_fract_z
_atom_site_occupancy
H1 H 0.000 0.500 0.250 1
Ir1 Ir 0.000 0.000 0.000 1
W1 W 0.000 0.000 0.348 1

=====

3.
# Na2TeBr (PBE, relaxed)
# ΔE to the lowest computed polymorph ... 15 meV/atom
# Formation energy without anion corrections ... -0.9974 eV/atom
# Electronic total energy ... -2.861 eV/atom
# DOS(E_F) ... 0.399 states/eV per atom
data_Na2TeBr
_symmetry_space_group_name_H-M 'R 3 m'
_symmetry_Int_Tables_number 160
_symmetry_space_group_name_Hall 'R 3 -2"'
_cell_length_a 3.9689
_cell_length_b 3.9689
_cell_length_c 25.1376
_cell_angle_alpha 90.00
_cell_angle_beta 90.00
_cell_angle_gamma 120.00
loop_
_atom_site_label
_atom_site_type_symbol
_atom_site_fract_x
_atom_site_fract_y
_atom_site_fract_z
_atom_site_occupancy
Na1 Na 0.0000 0.0000 0.0000 1
Na2 Na 0.0000 0.0000 0.1850 1
Te1 Te 0.0000 0.0000 0.7600 1
Br1 Br 0.0000 0.0000 0.5916 1